[1]
Rb6Mn3Cl14 PBE relaxed; ρ = 2.4 Mg/m³; raw total energy = -94.5 eV/cell; symmetry = P3, No. 143; formation energy (no corrections) = -1537 meV per atom
1.0
6.937 0.000 0.000
0.000 10.076 -5.817
0.000 0.000 11.635
Rb Mn Cl
6 3 14
Cartesian
1.857 8.022 -3.735 Rb
1.857 9.299 2.997 Rb
1.857 2.831 0.737 Rb
5.171 5.424 3.688 Rb
5.171 4.170 8.671 Rb
5.171 0.482 5.093 Rb
5.792 0.000 0.000 Mn
2.223 3.359 5.817 Mn
3.382 6.717 0.000 Mn
6.681 0.568 2.113 Cl
6.681 7.962 5.253 Cl
6.681 1.546 10.086 Cl
3.143 2.698 3.753 Cl
3.143 5.477 6.277 Cl
3.143 1.901 7.422 Cl
3.441 0.000 0.000 Cl
6.813 3.359 5.817 Cl
4.711 7.344 -1.784 Cl
4.711 7.949 1.434 Cl
4.711 4.859 0.350 Cl
2.070 6.108 1.790 Cl
2.070 5.471 -1.423 Cl
2.070 8.573 -0.367 Cl

[2]
RbMnCl3 PBE relaxed; ρ = 2.9 Mg/m³; raw total energy = -46.0 eV/cell; symmetry = P6_3/mmc, No. 194; formation energy (no corrections) = -1466 meV per atom
1.0
-3.582 0.210 -5.126
-5.797 -1.683 3.981
1.820 6.928 -0.988
Mn Rb Cl
2 2 6
Cartesian
-1.791 0.105 -2.563 Mn
0.000 0.000 0.000 Mn
-3.405 4.215 -3.176 Rb
-4.153 1.240 1.043 Rb
-0.293 5.603 -1.475 Cl
-6.318 3.456 -1.172 Cl
-4.249 0.727 -2.729 Cl
-3.309 4.728 0.597 Cl
-7.265 -0.148 -0.658 Cl
-1.240 1.999 -0.961 Cl

Repeat the second record exactly.
RbMnCl3 PBE relaxed; ρ = 2.9 Mg/m³; raw total energy = -46.0 eV/cell; symmetry = P6_3/mmc, No. 194; formation energy (no corrections) = -1466 meV per atom
1.0
-3.582 0.210 -5.126
-5.797 -1.683 3.981
1.820 6.928 -0.988
Mn Rb Cl
2 2 6
Cartesian
-1.791 0.105 -2.563 Mn
0.000 0.000 0.000 Mn
-3.405 4.215 -3.176 Rb
-4.153 1.240 1.043 Rb
-0.293 5.603 -1.475 Cl
-6.318 3.456 -1.172 Cl
-4.249 0.727 -2.729 Cl
-3.309 4.728 0.597 Cl
-7.265 -0.148 -0.658 Cl
-1.240 1.999 -0.961 Cl

formation energy (no corrections) of number 2 (RbMnCl3)?
-1466 meV per atom